[1]
This record from Alexandria via LeMat-Bulk describes an optimized crystal structure of NaTlNiHg2. The functional is PBE-GGA.

Lattice parameters (Å, degrees): 5.1266 5.1266 5.0257 90.00 90.00 90.00
Last column: nearest neighbours and their distance in Å.
Fractional coordinates of all 5 atoms:
Na 0.0000 0.0000 0.0000  8 Hg 3.59, 4 Tl 3.63
Tl 0.5000 0.5000 0.0000  2 Ni 2.51
Ni 0.5000 0.5000 0.5000  2 Tl 2.51, 4 Hg 2.56
Hg 0.0000 0.5000 0.5000  2 Ni 2.56
Hg 0.5000 0.0000 0.5000  2 Ni 2.56

* DFT formation energy: -12 meV per atom
* space-group type: P4/mmm, No. 123
* total magnetic moment: 0.000 μB per atom

=====

[2]
This record from Alexandria via LeMat-Bulk describes an optimized crystal structure of Rb2NpCrN4. The functional is PBE-GGA.

Lattice parameters (Å, degrees): 6.3076 7.0776 7.1056 90.00 90.00 90.00
Last column: nearest neighbours and their distance in Å.
Fractional coordinates of all 16 atoms:
Rb 0.2500 0.0054 0.2110  7 N 3.08-3.18
Rb 0.2500 0.4946 0.2110  7 N 3.08-3.18
Rb 0.7500 0.5054 0.7890  7 N 3.08-3.18
Rb 0.7500 0.9946 0.7890  7 N 3.08-3.18
Np 0.2500 0.2500 0.6786  4 N 2.15
Np 0.7500 0.7500 0.3214  4 N 2.15
Cr 0.2500 0.7500 0.6433  4 N 1.75-1.80
Cr 0.7500 0.2500 0.3567  4 N 1.75-1.80
N 0.0231 0.7500 0.5016  1 Cr 1.75
N 0.2500 0.5361 0.7793  1 Cr 1.80
N 0.2500 0.9639 0.7793  1 Cr 1.80
N 0.4769 0.7500 0.5016  1 Cr 1.75
N 0.5231 0.2500 0.4984  1 Cr 1.75
N 0.7500 0.0361 0.2207  1 Cr 1.80
N 0.7500 0.4639 0.2207  1 Cr 1.80
N 0.9769 0.2500 0.4984  1 Cr 1.75

* formation energy from raw total energies: -381 meV/atom
* space-group type: Pmmn, No. 59
* total magnetic moment: 0.375 μB per atom

=====

[3]
This record from Alexandria via LeMat-Bulk describes an optimized crystal structure of Dy4YIr4. The functional is PBE-GGA.

Lattice parameters (Å, degrees): 8.8616 8.8616 5.6568 90.00 90.00 90.00
Last column: nearest neighbours and their distance in Å.
Fractional coordinates of all 18 atoms:
Dy 0.0763 0.6615 0.1377  5 Ir 2.79-2.95
Dy 0.1615 0.9237 0.6377  5 Ir 2.79-2.95
Dy 0.3385 0.5763 0.6377  5 Ir 2.79-2.95
Dy 0.4237 0.8385 0.1377  5 Ir 2.79-2.95
Dy 0.5763 0.1615 0.8623  5 Ir 2.79-2.95
Dy 0.6615 0.4237 0.3623  5 Ir 2.79-2.95
Dy 0.8385 0.0763 0.3623  5 Ir 2.79-2.95
Dy 0.9237 0.3385 0.8623  5 Ir 2.79-2.95
Y 0.2500 0.2500 0.2500  4 Ir 2.79
Y 0.7500 0.7500 0.7500  4 Ir 2.79
Ir 0.0272 0.6194 0.6382  1 Ir 2.67, 5 Dy 2.79-2.95, 1 Y 2.79
Ir 0.1194 0.9728 0.1382  1 Ir 2.67, 5 Dy 2.79-2.95, 1 Y 2.79
Ir 0.3806 0.5272 0.1382  1 Ir 2.67, 5 Dy 2.79-2.95, 1 Y 2.79
Ir 0.4728 0.8806 0.6382  1 Ir 2.67, 5 Dy 2.79-2.95, 1 Y 2.79
Ir 0.5272 0.1194 0.3618  1 Ir 2.67, 5 Dy 2.79-2.95, 1 Y 2.79
Ir 0.6194 0.4728 0.8618  1 Ir 2.67, 5 Dy 2.79-2.95, 1 Y 2.79
Ir 0.8806 0.0272 0.8618  1 Ir 2.67, 5 Dy 2.79-2.95, 1 Y 2.79
Ir 0.9728 0.3806 0.3618  1 Ir 2.67, 5 Dy 2.79-2.95, 1 Y 2.79

* DFT formation energy: -645 meV per atom
* space-group type: P4_2/n, No. 86
* total magnetic moment: 0.000 μB per atom

=====

[4]
This record from Alexandria via LeMat-Bulk describes an optimized crystal structure of Ce8Rh2Pb. The functional is PBE-GGA.

Lattice parameters (Å, degrees): 7.9479 7.9479 5.3266 97.33 97.33 116.44
Last column: nearest neighbours and their distance in Å.
Fractional coordinates of all 11 atoms:
Ce 0.0832 0.0832 0.8102  1 Ce 2.72
Ce 0.2084 0.4195 0.4343  2 Ce 2.85-3.02, 2 Rh 3.02-3.03
Ce 0.2439 0.7561 0.0000  2 Rh 2.73
Ce 0.4195 0.2084 0.4343  2 Ce 2.85-3.02, 2 Rh 3.02-3.03
Ce 0.5805 0.7916 0.5657  2 Ce 2.85-3.02, 2 Rh 3.02-3.03
Ce 0.7561 0.2439 0.0000  2 Rh 2.73
Ce 0.7916 0.5805 0.5657  2 Ce 2.85-3.02, 2 Rh 3.02-3.03
Ce 0.9168 0.9168 0.1898  1 Ce 2.72
Rh 0.1998 0.8002 0.5000  6 Ce 2.73-3.03
Rh 0.8002 0.1998 0.5000  6 Ce 2.73-3.03
Pb 0.5000 0.5000 0.0000  12 Ce 3.36-3.46

* DFT formation energy: -292 meV per atom
* space-group type: C2/m, No. 12
* total magnetic moment: 0.340 μB per atom